This record from Alexandria describes a relaxed structure of La2Tb3Ho7. The functional is PBE.

Output
Volume, Å³/cell: 389.6
Symmetry: P2/m
Total magnetization, μB/atom: 0.00
Density of states at the Fermi level, states/eV/f.u.: 18.450
Formation enthalpy at 0 K, eV/atom: 0.087

Cell lengths 6.354, 3.522, 17.513 Å; angles 90.00, 96.21, 90.00 degrees
Fractional coordinates of all 12 atoms:
La 0.057 0.000 0.173
La 0.943 0.000 0.827
Tb 0.455 0.500 0.842
Tb 0.500 0.000 0.500
Tb 0.545 0.500 0.158
Ho 0.000 0.500 0.500
Ho 0.229 0.000 0.665
Ho 0.257 0.000 0.999
Ho 0.275 0.500 0.338
Ho 0.725 0.500 0.662
Ho 0.743 0.000 0.001
Ho 0.771 0.000 0.335

This record from Alexandria describes a relaxed structure of La7TbHo4. The functional is PBE.

Output
Volume, Å³/cell: 424.2
Symmetry: C2/m
Total magnetization, μB/atom: 0.00
Density of states at the Fermi level, states/eV/f.u.: 20.895
Formation enthalpy at 0 K, eV/atom: 0.208

Cell lengths 8.739, 8.739, 9.656 Å; angles 116.37, 116.37, 40.78 degrees
Fractional coordinates of all 12 atoms:
La 0.000 0.000 0.000
La 0.277 0.277 0.748
La 0.288 0.288 0.106
La 0.411 0.411 0.543
La 0.589 0.589 0.457
La 0.712 0.712 0.894
La 0.723 0.723 0.252
Tb 0.500 0.500 0.000
Ho 0.065 0.065 0.702
Ho 0.167 0.167 0.363
Ho 0.833 0.833 0.637
Ho 0.935 0.935 0.298

This record from Alexandria describes a relaxed structure of La4Tb2Ho3. The functional is PBE.

Output
Volume, Å³/cell: 305.5
Symmetry: C2/m
Total magnetization, μB/atom: 0.00
Density of states at the Fermi level, states/eV/f.u.: 14.601
Formation enthalpy at 0 K, eV/atom: 0.066

Cell lengths 8.982, 8.982, 9.928 Å; angles 100.56, 100.56, 22.85 degrees
Fractional coordinates of all 9 atoms:
La 0.002 0.002 0.330
La 0.161 0.161 0.219
La 0.839 0.839 0.781
La 0.998 0.998 0.670
Tb 0.176 0.176 0.881
Tb 0.824 0.824 0.119
Ho 0.334 0.334 0.448
Ho 0.500 0.500 0.000
Ho 0.666 0.666 0.552

This record from Alexandria describes a relaxed structure of La4Tb3Ho8. The functional is PBE.

Output
Volume, Å³/cell: 511.4
Symmetry: C2/m
Total magnetization, μB/atom: 0.00
Density of states at the Fermi level, states/eV/f.u.: 30.378
Formation enthalpy at 0 K, eV/atom: 0.351

Cell lengths 9.333, 9.333, 6.785 Å; angles 111.17, 111.17, 87.37 degrees
Fractional coordinates of all 15 atoms:
La 0.000 0.000 0.000
La 0.000 0.000 0.500
La 0.000 0.500 0.000
La 0.500 0.000 0.000
Tb 0.000 0.500 0.500
Tb 0.500 0.000 0.500
Tb 0.500 0.500 0.000
Ho 0.257 0.743 0.000
Ho 0.269 0.269 0.512
Ho 0.272 0.272 0.038
Ho 0.363 0.637 0.500
Ho 0.637 0.363 0.500
Ho 0.728 0.728 0.962
Ho 0.731 0.731 0.488
Ho 0.743 0.257 0.000

This record from Alexandria describes a relaxed structure of La6TbHo. The functional is PBE.

Output
Volume, Å³/cell: 281.8
Symmetry: P4/mmm
Total magnetization, μB/atom: 0.00
Density of states at the Fermi level, states/eV/f.u.: 10.553
Formation enthalpy at 0 K, eV/atom: 0.007

Cell lengths 5.203, 5.203, 10.406 Å; angles 90.00, 90.00, 90.00 degrees
Fractional coordinates of all 8 atoms:
La 0.000 0.000 0.000
La 0.000 0.000 0.500
La 0.000 0.500 0.250
La 0.000 0.500 0.750
La 0.500 0.000 0.250
La 0.500 0.000 0.750
Tb 0.500 0.500 0.000
Ho 0.500 0.500 0.500

This record from Alexandria describes a relaxed structure of LaTb8Ho6. The functional is PBE.

Output
Volume, Å³/cell: 486.0
Symmetry: R-3
Total magnetization, μB/atom: 0.00
Density of states at the Fermi level, states/eV/f.u.: 23.723
Formation enthalpy at 0 K, eV/atom: 0.136

Cell lengths 8.643, 8.643, 8.643 Å; angles 62.90, 62.90, 62.90 degrees
Fractional coordinates of all 15 atoms:
La 0.000 0.000 0.000
Tb 0.112 0.718 0.747
Tb 0.253 0.888 0.282
Tb 0.282 0.253 0.888
Tb 0.423 0.423 0.423
Tb 0.577 0.577 0.577
Tb 0.718 0.747 0.112
Tb 0.747 0.112 0.718
Tb 0.888 0.282 0.253
Ho 0.102 0.535 0.240
Ho 0.240 0.102 0.535
Ho 0.465 0.760 0.898
Ho 0.535 0.240 0.102
Ho 0.760 0.898 0.465
Ho 0.898 0.465 0.760

This record from Alexandria describes a relaxed structure of La2TbHo. The functional is PBE.

Output
Volume, Å³/cell: 409.9
Symmetry: R3m
Total magnetization, μB/atom: 0.00
Density of states at the Fermi level, states/eV/f.u.: 6.159
Formation enthalpy at 0 K, eV/atom: 0.026

Cell lengths 3.653, 3.653, 35.460 Å; angles 90.00, 90.00, 120.00 degrees
Fractional coordinates of all 12 atoms:
La 0.000 0.000 0.000
La 0.000 0.000 0.165
La 0.333 0.667 0.667
La 0.333 0.667 0.832
La 0.667 0.333 0.333
La 0.667 0.333 0.498
Tb 0.000 0.000 0.581
Tb 0.333 0.667 0.248
Tb 0.667 0.333 0.914
Ho 0.000 0.000 0.750
Ho 0.333 0.667 0.416
Ho 0.667 0.333 0.083

This record from Alexandria describes a relaxed structure of La4Tb3Ho4. The functional is PBE.

Output
Volume, Å³/cell: 372.6
Symmetry: Amm2
Total magnetization, μB/atom: 0.00
Density of states at the Fermi level, states/eV/f.u.: 17.333
Formation enthalpy at 0 K, eV/atom: 0.150

Cell lengths 10.773, 6.668, 6.668 Å; angles 51.07, 90.00, 90.00 degrees
Fractional coordinates of all 11 atoms:
La 0.000 0.000 0.000
La 0.205 0.804 0.804
La 0.500 0.918 0.918
La 0.795 0.804 0.804
Tb 0.000 0.294 0.294
Tb 0.286 0.455 0.455
Tb 0.714 0.455 0.455
Ho 0.000 0.594 0.594
Ho 0.306 0.148 0.148
Ho 0.500 0.645 0.645
Ho 0.694 0.148 0.148